[1]
Here is a relaxed structure of Dy4MgIn3 from the Alexandria database. Energies are from PBE-GGA.

Lattice parameters (Å, degrees): 8.406 8.406 8.406 143.17 143.17 53.06
Atoms (fractional coordinates):
Dy  0.125  0.625  0.500
Dy  0.375  0.875  0.500
Dy  0.625  0.125  0.500
Dy  0.875  0.375  0.500
Mg  0.000  0.000  0.000
In  0.247  0.247  0.000
In  0.500  0.500  0.000
In  0.753  0.753  0.000


[2]
Here is a relaxed structure of Pa6TlSe12 from the Alexandria database. Energies are from PBE-GGA.

Computed properties:
energy relative to the elements, uncorrected: -1.15 eV per atom

Lattice parameters (Å, degrees): 8.508 8.508 8.508 105.10 105.10 105.10
Atoms (fractional coordinates):
Pa  0.256  0.256  0.665
Pa  0.256  0.665  0.256
Pa  0.335  0.744  0.744
Pa  0.665  0.256  0.256
Pa  0.744  0.335  0.744
Pa  0.744  0.744  0.335
Tl  0.000  0.000  0.000
Se  0.128  0.500  0.872
Se  0.128  0.872  0.500
Se  0.177  0.438  0.438
Se  0.438  0.177  0.438
Se  0.438  0.438  0.177
Se  0.500  0.128  0.872
Se  0.500  0.872  0.128
Se  0.562  0.562  0.823
Se  0.562  0.823  0.562
Se  0.823  0.562  0.562
Se  0.872  0.128  0.500
Se  0.872  0.500  0.128


[3]
Here is a relaxed structure of Pr6Sm3Y2 from the Alexandria database. Energies are from PBE-GGA.

Computed properties:
energy above the lowest structure with this stoichiometry: 268.2 meV/atom

Lattice parameters (Å, degrees): 17.643 17.643 17.643 164.33 164.33 22.23
Atoms (fractional coordinates):
Pr  0.120  0.620  0.500
Pr  0.206  0.206  0.000
Pr  0.380  0.880  0.500
Pr  0.620  0.120  0.500
Pr  0.794  0.794  0.000
Pr  0.880  0.380  0.500
Sm  0.306  0.306  0.000
Sm  0.500  0.500  0.000
Sm  0.694  0.694  0.000
Y  0.045  0.045  0.000
Y  0.955  0.955  0.000


Number 1: E_tot -3.920 eV per atom. Number 2: E_tot -6.477 eV per atom. Number 3: E_tot -4.791 eV per atom.